# BeAuCl2

An optimized crystal structure of BeAuCl2 (PBE, the Alexandria database).

abc: 3.552 3.690 6.579
angles: 90.00 90.00 90.00
Atoms (fractional coordinates):
Be (0.000, 0.000, 0.000)
Au (0.500, 0.000, 0.500)
Cl (0.000, 0.500, 0.500)
Cl (0.500, 0.500, 0.000)

Results
Excess energy over the best structure of this formula in the dataset, eV per atom: 0.9675
Calculated volume, A^3/atom: 21.56
Formation energy from raw total energies, eV per atom: 0.33